Computed, not measured: a relaxed AcPr4Ir2 crystal at the GGA-PBE level of DFT.

## Properties
Crystal system   monoclinic
Total magnetization   0.0 Bohr magnetons per cell
E_form   -2.8 eV/f.u.

a = 6.9250 Å, b = 9.4978 Å, c = 7.3206 Å
α = 112.52°, β = 90.00°, γ = 90.00°
Positions (direct):
Ir (0.2500, 0.3299, 0.9599)
Ir (0.7500, 0.6701, 0.0401)
Ir (0.7500, 0.3295, 0.3714)
Ir (0.2500, 0.6705, 0.6286)
Ac (0.2500, 0.8017, 0.0448)
Ac (0.7500, 0.1983, 0.9552)
Pr (0.7500, 0.9996, 0.3308)
Pr (0.5001, 0.5542, 0.2786)
Pr (0.2500, 0.0004, 0.6692)
Pr (0.7500, 0.7886, 0.7501)
Pr (0.4999, 0.4458, 0.7214)
Pr (0.2500, 0.2114, 0.2499)
Pr (0.9999, 0.5542, 0.2786)
Pr (0.0001, 0.4458, 0.7214)